No. 1
A plane-wave DFT calculation with PBE was carried out for ErTm3Hg3 after structural relaxation.

a = 9.1388 Å, b = 9.1388 Å, c = 5.1174 Å
α = 90.00°, β = 90.00°, γ = 120.00°
Fractional coordinates of all 14 atoms:
Er (0.3333, 0.6667, 0.2500)
Er (0.6667, 0.3333, 0.7500)
Tm (0.0082, 0.2416, 0.7500)
Tm (0.2334, 0.9918, 0.7500)
Tm (0.2416, 0.2334, 0.2500)
Tm (0.7584, 0.7666, 0.7500)
Tm (0.7666, 0.0082, 0.2500)
Tm (0.9918, 0.7584, 0.2500)
Hg (0.0528, 0.6132, 0.7500)
Hg (0.3868, 0.4396, 0.7500)
Hg (0.4396, 0.0528, 0.2500)
Hg (0.5604, 0.9472, 0.7500)
Hg (0.6132, 0.5604, 0.2500)
Hg (0.9472, 0.3868, 0.2500)

ΔH_f (0 K), eV per atom: -0.29
Crystal system: hexagonal
E, eV/atom: -2.983


No. 2
A plane-wave DFT calculation with PBE was carried out for DyTlSb2 after structural relaxation.

a = 5.0149 Å, b = 5.0149 Å, c = 4.3638 Å
α = 90.00°, β = 90.00°, γ = 90.00°
Fractional coordinates of all 4 atoms:
Dy (0.0000, 0.0000, 0.0000)
Tl (0.5000, 0.5000, 0.0000)
Sb (0.0000, 0.5000, 0.5000)
Sb (0.5000, 0.0000, 0.5000)

Crystal system: tetragonal
Polymorph energy (0 for the lowest one), kcal/mol of atoms: 2.09
E, eV/atom: -4.193
Raw formation energy, meV per atom: -390


No. 3
A plane-wave DFT calculation with PBE was carried out for AlNi2RuC after structural relaxation.

a = 3.7913 Å, b = 3.7913 Å, c = 3.9879 Å
α = 90.00°, β = 90.00°, γ = 90.00°
Fractional coordinates of all 5 atoms:
Al (0.0000, 0.0000, 0.0000)
Ni (0.0000, 0.5000, 0.5000)
Ni (0.5000, 0.0000, 0.5000)
Ru (0.5000, 0.5000, 0.0000)
C (0.5000, 0.5000, 0.5000)

ΔH_f (0 K), eV per atom: -0.19
Crystal system: tetragonal
E, eV/atom: -6.946


No. 4
A plane-wave DFT calculation with PBE was carried out for La6Hg2OsO after structural relaxation.

a = 7.5574 Å, b = 10.6900 Å, c = 7.5573 Å
α = 90.00°, β = 90.00°, γ = 90.00°
Fractional coordinates of all 20 atoms:
La (0.0103, 0.2500, 0.0097)
La (0.0101, 0.2500, 0.4894)
La (0.2500, 0.0098, 0.2502)
La (0.2500, 0.4902, 0.2502)
La (0.4897, 0.2500, 0.0097)
La (0.4899, 0.2500, 0.4894)
La (0.5101, 0.7500, 0.5105)
La (0.5103, 0.7500, 0.9903)
La (0.7500, 0.5098, 0.7498)
La (0.7500, 0.9902, 0.7498)
La (0.9899, 0.7500, 0.5105)
La (0.9897, 0.7500, 0.9903)
Hg (0.2500, 0.0004, 0.7507)
Hg (0.2500, 0.4996, 0.7507)
Hg (0.7500, 0.9996, 0.2493)
Hg (0.7500, 0.5004, 0.2493)
Os (0.2500, 0.7500, 0.2504)
Os (0.7500, 0.2500, 0.7496)
O (0.2500, 0.2500, 0.2497)
O (0.7500, 0.7500, 0.7503)

Crystal system: orthorhombic
E, eV/atom: -5.319
Raw formation energy, meV per atom: -683


No. 5
A plane-wave DFT calculation with PBE was carried out for Pr5Al after structural relaxation.

a = 8.2312 Å, b = 8.2312 Å, c = 4.9548 Å
α = 90.00°, β = 90.00°, γ = 144.79°
Fractional coordinates of all 6 atoms:
Pr (0.0000, 0.0000, 0.0000)
Pr (0.1610, 0.8390, 0.5000)
Pr (0.3433, 0.6567, 0.0000)
Pr (0.6567, 0.3433, 0.0000)
Pr (0.8390, 0.1610, 0.5000)
Al (0.5000, 0.5000, 0.5000)

ΔH_f (0 K), eV per atom: -0.07
Crystal system: orthorhombic
Polymorph energy (0 for the lowest one), kcal/mol of atoms: 0.00
E, eV/atom: -4.677


No. 6
A plane-wave DFT calculation with PBE was carried out for La3Pm6Nd2Sc after structural relaxation.

a = 6.3090 Å, b = 6.3090 Å, c = 12.1253 Å
α = 95.01°, β = 95.01°, γ = 120.02°
Fractional coordinates of all 12 atoms:
La (0.0000, 0.0000, 0.0000)
La (0.3333, 0.6667, 0.0000)
La (0.6667, 0.3333, 0.0000)
Pm (0.0902, 0.4192, 0.2557)
Pm (0.2516, 0.2516, 0.7447)
Pm (0.4192, 0.0902, 0.2557)
Pm (0.5808, 0.9098, 0.7443)
Pm (0.7484, 0.7484, 0.2553)
Pm (0.9098, 0.5808, 0.7443)
Nd (0.1665, 0.8335, 0.5000)
Nd (0.8335, 0.1665, 0.5000)
Sc (0.5000, 0.5000, 0.5000)

ΔH_f (0 K), eV per atom: 0.03
Crystal system: monoclinic
E, eV/atom: -4.900


No. 7
A plane-wave DFT calculation with PBE was carried out for La6TmTe8 after structural relaxation.

a = 8.4931 Å, b = 8.4931 Å, c = 8.4931 Å
α = 68.25°, β = 68.25°, γ = 68.25°
Fractional coordinates of all 15 atoms:
La (0.0354, 0.8045, 0.4210)
La (0.1955, 0.5790, 0.9646)
La (0.4210, 0.0354, 0.8045)
La (0.5790, 0.9646, 0.1955)
La (0.8045, 0.4210, 0.0354)
La (0.9646, 0.1955, 0.5790)
Tm (0.5000, 0.5000, 0.5000)
Te (0.1480, 0.4066, 0.6810)
Te (0.1699, 0.1699, 0.1699)
Te (0.3190, 0.8520, 0.5934)
Te (0.4066, 0.6810, 0.1480)
Te (0.5934, 0.3190, 0.8520)
Te (0.6810, 0.1480, 0.4066)
Te (0.8301, 0.8301, 0.8301)
Te (0.8520, 0.5934, 0.3190)

Crystal system: trigonal
E, eV/atom: -5.428
Raw formation energy, meV per atom: -1483


No. 8
A plane-wave DFT calculation with PBE was carried out for CrCdMo2 after structural relaxation.

a = 5.1445 Å, b = 5.1445 Å, c = 2.7313 Å
α = 90.00°, β = 90.00°, γ = 115.93°
Fractional coordinates of all 4 atoms:
Cr (0.0000, 0.0000, 0.0000)
Cd (0.5000, 0.5000, 0.0000)
Mo (0.0000, 0.5000, 0.5000)
Mo (0.5000, 0.0000, 0.5000)

ΔH_f (0 K), eV per atom: 0.53
Crystal system: orthorhombic
E, eV/atom: -7.518